Record 1
TaFe2Ni5: relaxed, GGA-PBE.

The total energy is -117.01 eV for the cell shown. The calculation puts the total magnetization at 12.30 Bohr magnetons per cell.

The structure belongs to space group Pbam (No. 55); the cell edges are 5.189, 10.358 and 3.541 Å and the angles 90.00°, 90.00° and 90.00°. The asymmetric unit holds Ta at (0.000, 0.000, 0.000), Fe at (0.236, 0.368, 0.500), Ni at (0.000, 0.250, 0.000), Ni at (0.000, 0.500, 0.000) and Ni at (0.242, 0.628, 0.500).

***

Record 2
Ba2NaMg2Tl5: relaxed, GGA-PBE.

The total energy is -45.03 eV for the cell shown. The calculation puts the total magnetization at 0.00 Bohr magnetons per cell.

The structure belongs to space group P4/mbm (No. 127); the cell edges are 11.997, 11.997 and 4.378 Å and the angles 90.00°, 90.00° and 90.00°. The asymmetric unit holds Ba at (0.178, 0.322, 0.000), Na at (0.000, 0.000, 0.000), Mg at (0.119, 0.619, 0.000), Tl at (0.000, 0.500, 0.500) and Tl at (0.062, 0.798, 0.500).

***

Record 3
Hf3Ir2Rh: relaxed, GGA-PBE.

The total energy is -60.32 eV for the cell shown. The calculation puts the total magnetization at 0.00 Bohr magnetons per cell.

The structure belongs to space group P4/mmm (No. 123); the cell edges are 3.251, 3.251 and 10.004 Å and the angles 90.00°, 90.00° and 90.00°. The asymmetric unit holds Hf at (0.000, 0.000, 0.000), Hf at (0.000, 0.000, 0.332), Ir at (0.500, 0.500, 0.167) and Rh at (0.500, 0.500, 0.500).

***

Record 4
CsHRhS: relaxed, GGA-PBE.

The total energy is -33.72 eV for the cell shown. The calculation puts the total magnetization at 0.00 Bohr magnetons per cell.

The structure belongs to space group Cm (No. 8); the cell edges are 6.988, 4.043 and 6.121 Å and the angles 90.00°, 90.66° and 90.00°. The asymmetric unit holds Cs at (0.000, 0.000, 0.000), H at (0.171, 0.500, 0.241), Rh at (0.162, 0.500, 0.499) and S at (0.330, 0.000, 0.543).

***

Record 5
Ce2PN: relaxed, GGA-PBE.

The total energy is -93.61 eV for the cell shown. The formation energy from raw total energies is -1.400 eV per atom. The calculation puts the total magnetization at 0.01 Bohr magnetons per cell.

The structure belongs to space group R-3m (No. 166, hexagonal axes); the cell edges are 3.7833, 3.7833 and 19.0328 Å and the angles 90.00°, 90.00° and 120.00°. The asymmetric unit holds Ce at (0.0000, 0.0000, 0.2387), P at (0.0000, 0.0000, 0.0000) and N at (0.0000, 0.0000, 0.5000).

***

Record 6
SrFe2Br: relaxed, GGA-PBE.

The total energy is -19.16 eV for the cell shown. The formation energy from raw total energies is 0.281 eV per atom. The calculation puts the total magnetization at 5.44 Bohr magnetons per cell.

The structure belongs to space group P2/m (No. 10); the cell edges are 3.464, 5.879 and 4.949 Å and the angles 90.00°, 91.38° and 90.00°. The asymmetric unit holds Sr at (0.000, 0.000, 0.000), Fe at (0.278, 0.500, 0.160) and Br at (0.500, 0.000, 0.500).

***

Record 7
H8Pd6Pt: relaxed, GGA-PBE.

The total energy is -193.05 eV for the cell shown. The calculation puts the total magnetization at 0.00 Bohr magnetons per cell.

The structure belongs to space group R-3 (No. 148, hexagonal axes); the cell edges are 7.9354, 7.9354 and 7.3563 Å and the angles 90.00°, 90.00° and 120.00°. The asymmetric unit holds H at (0.0000, 0.0000, 0.2440), H at (0.0155, 0.4169, 0.8072), Pd at (0.0480, 0.2437, 0.6654) and Pt at (0.0000, 0.0000, 0.0000).

***

Record 8
Zn2TcOs: relaxed, GGA-PBE.

The total energy is -45.42 eV for the cell shown. The calculation puts the total magnetization at 0.00 Bohr magnetons per cell.

The structure belongs to space group Cmmm (No. 65); the cell edges are 5.136, 8.168 and 2.753 Å and the angles 90.00°, 90.00° and 90.00°. The asymmetric unit holds Zn at (0.250, 0.250, 0.000), Tc at (0.000, 0.000, 0.500) and Os at (0.000, 0.500, 0.500).

***

Record 9
AlSbMo2: relaxed, GGA-PBE.

The total energy is -28.50 eV for the cell shown. The formation energy from raw total energies is 0.257 eV per atom. The calculation puts the total magnetization at 0.00 Bohr magnetons per cell.

The structure belongs to space group Pmmm (No. 47); the cell edges are 3.398, 4.313 and 4.671 Å and the angles 90.00°, 90.00° and 90.00°. The asymmetric unit holds Al at (0.000, 0.000, 0.000), Sb at (0.500, 0.000, 0.500), Mo at (0.000, 0.500, 0.500) and Mo at (0.500, 0.500, 0.000).

***

Record 10
CdFe2Re: relaxed, GGA-PBE.

The total energy is -86.90 eV for the cell shown. The calculation puts the total magnetization at 13.15 Bohr magnetons per cell.

The structure belongs to space group R-3m (No. 166, hexagonal axes); the cell edges are 2.7720, 2.7720 and 26.6209 Å and the angles 90.00°, 90.00° and 120.00°. The asymmetric unit holds Cd at (0.0000, 0.0000, 0.0000), Fe at (0.0000, 0.0000, 0.2437) and Re at (0.0000, 0.0000, 0.5000).

***

Record 11
HfGeI2N: relaxed, GGA-PBE.

The total energy is -25.61 eV for the cell shown. The formation energy from raw total energies is 0.078 eV per atom. The calculation puts the total magnetization at 0.87 Bohr magnetons per cell.

The structure belongs to space group P4/mmm (No. 123); the cell edges are 5.918, 5.918 and 3.965 Å and the angles 90.00°, 90.00° and 90.00°. The asymmetric unit holds Hf at (0.000, 0.000, 0.000), Ge at (0.500, 0.500, 0.500), I at (0.000, 0.500, 0.000) and N at (0.000, 0.000, 0.500).

***

Record 12
DyCuH2O4: relaxed, GGA-PBE.

The total energy is -94.46 eV for the cell shown. The calculation puts the total magnetization at 0.00 Bohr magnetons per cell.

The structure belongs to space group I222 (No. 23); the cell edges are 4.695, 5.392 and 5.980 Å and the angles 90.00°, 90.00° and 90.00°. The asymmetric unit holds Dy at (0.000, 0.000, 0.000), Cu at (0.000, 0.000, 0.500), H at (0.000, 0.500, 0.196) and O at (0.221, 0.384, 0.800).

***

Record 13
Tm5HfRh6: relaxed, GGA-PBE.

The total energy is -175.92 eV for the cell shown. The calculation puts the total magnetization at 0.00 Bohr magnetons per cell.

The structure belongs to space group Cmmm (No. 65); the cell edges are 4.683, 14.093 and 6.901 Å and the angles 90.00°, 90.00° and 90.00°. The asymmetric unit holds Tm at (0.000, 0.000, 0.000), Tm at (0.000, 0.333, 0.500), Tm at (0.000, 0.334, 0.000), Hf at (0.000, 0.000, 0.500), Rh at (0.000, 0.162, 0.256) and Rh at (0.000, 0.500, 0.264).

***

Record 14
SrSnI6: relaxed, GGA-PBE.

The total energy is -20.89 eV for the cell shown. The formation energy from raw total energies is -0.739 eV per atom. The calculation puts the total magnetization at 0.00 Bohr magnetons per cell.

The structure belongs to space group P-1 (No. 2); the cell edges are 7.624, 7.631 and 8.290 Å and the angles 90.03°, 117.34° and 119.96°. The asymmetric unit holds Sr at (0.000, 0.000, 0.000), Sn at (0.000, 0.500, 0.500), I at (0.172, 0.451, 0.264), I at (0.188, 0.279, 0.736) and I at (0.457, 0.908, 0.736).

***

Record 15
PaNi4Sb: relaxed, GGA-PBE.

The total energy is -155.04 eV for the cell shown. The formation energy from raw total energies is -0.336 eV per atom. The calculation puts the total magnetization at 0.00 Bohr magnetons per cell.

The structure belongs to space group F-43m (No. 216); the cell edges are 7.108, 7.108 and 7.108 Å and the angles 90.00°, 90.00° and 90.00°. The asymmetric unit holds Pa at (0.000, 0.000, 0.000), Ni at (0.125, 0.125, 0.375) and Sb at (0.250, 0.250, 0.750).

***

Record 16
Re12Tc5Mo: relaxed, GGA-PBE.

The total energy is -422.97 eV for the cell shown. The calculation puts the total magnetization at 0.00 Bohr magnetons per cell.

The structure belongs to space group C2/m (No. 12); the cell edges are 13.500, 8.352 and 4.797 Å and the angles 90.00°, 96.65° and 90.00°. The asymmetric unit holds Re at (0.000, 0.163, 0.000), Re at (0.000, 0.331, 0.500), Re at (0.167, 0.167, 0.389), Re at (0.168, 0.333, 0.892), Tc at (0.000, 0.000, 0.500), Tc at (0.167, 0.000, 0.888), Tc at (0.167, 0.500, 0.394) and Mo at (0.000, 0.500, 0.000).

***

Record 17
SmHo12Sc2: relaxed, GGA-PBE.

The total energy is -141.07 eV for the cell shown. The calculation puts the total magnetization at 0.00 Bohr magnetons per cell.

The structure belongs to space group Cmmm (No. 65); the cell edges are 3.542, 54.856 and 4.805 Å and the angles 90.00°, 90.00° and 90.00°. The asymmetric unit holds Sm at (0.000, 0.000, 0.000), Ho at (0.000, 0.066, 0.000), Ho at (0.000, 0.191, 0.000), Ho at (0.000, 0.276, 0.500), Ho at (0.000, 0.339, 0.500), Ho at (0.000, 0.401, 0.500), Ho at (0.000, 0.467, 0.500) and Sc at (0.000, 0.129, 0.000).

***

Record 18
BeNiSb2I: relaxed, GGA-PBE.

The total energy is -14.86 eV for the cell shown. The formation energy from raw total energies is 0.888 eV per atom. The calculation puts the total magnetization at 0.29 Bohr magnetons per cell.

The structure belongs to space group P4/mmm (No. 123); the cell edges are 4.819, 4.819 and 5.189 Å and the angles 90.00°, 90.00° and 90.00°. The asymmetric unit holds Be at (0.000, 0.000, 0.000), Ni at (0.500, 0.500, 0.500), Sb at (0.000, 0.500, 0.000) and I at (0.000, 0.000, 0.500).

***

Record 19
YHo12In6: relaxed, GGA-PBE.

The total energy is -234.76 eV for the cell shown. The calculation puts the total magnetization at 0.01 Bohr magnetons per cell.

The structure belongs to space group R-3m (No. 166, hexagonal axes); the cell edges are 13.8765, 13.8765 and 11.0934 Å and the angles 90.00°, 90.00° and 120.00°. The asymmetric unit holds Y at (0.0000, 0.0000, 0.0000), Ho at (0.0000, 0.3764, 0.5000), Ho at (0.0885, 0.1769, 0.3549) and In at (0.0298, 0.5149, 0.2703).

***

Record 20
MoS: relaxed, GGA-PBE.

The total energy is -123.23 eV for the cell shown. The formation energy from raw total energies is -0.223 eV per atom. The calculation puts the total magnetization at 0.00 Bohr magnetons per cell.

The structure belongs to space group P2_12_12_1 (No. 19); the cell edges are 4.773, 5.804 and 9.406 Å and the angles 90.00°, 90.00° and 90.00°. The asymmetric unit holds Mo at (0.126, 0.051, 0.263), Mo at (0.242, 0.397, 0.474), S at (0.150, 0.583, 0.727) and S at (0.247, 0.004, 0.514).